{
  "formula": "SrZrSc2",
  "functional": "PBE",
  "state": "relaxed",
  "cell": [[5.353, -1.667, 0.000], [5.353, 1.667, 0.000], [-0.915, 0.000, 6.392]],
  "species": ["Sr", "Zr", "Sc", "Sc"],
  "frac_coords": [[0.000, 0.000, 0.000], [0.500, 0.500, 0.500], [0.239, 0.239, 0.703], [0.761, 0.761, 0.297]],
  "crystal_system": "monoclinic",
  "de_polymorph_ev_per_atom": 0.1117,
  "e_tot_ev_per_atom": -5.42,
  "formation_energy_mev_per_atom": 302.9
}


{
  "formula": "SrZr2Sc",
  "functional": "PBE",
  "state": "relaxed",
  "cell": [[4.681, 0.000, 0.000], [0.000, 4.681, 0.000], [0.000, 0.000, 4.909]],
  "species": ["Sr", "Zr", "Zr", "Sc"],
  "frac_coords": [[0.000, 0.000, 0.000], [0.000, 0.500, 0.500], [0.500, 0.000, 0.500], [0.500, 0.500, 0.000]],
  "crystal_system": "tetragonal",
  "de_polymorph_ev_per_atom": 0.2090,
  "e_tot_ev_per_atom": -5.83,
  "formation_energy_mev_per_atom": 450.2
}


no.,calculated density (g/cm3),total magnetic moment (μB/f.u.)
1,3.9,0.00
2,4.9,0.00